No. 1
MgFeS2Cl | GGA-PBE | relaxed

extended XYZ file:
```
5
Lattice="4.508 0.000 0.000 0.000 4.508 0.000 0.000 0.000 4.878" Properties=species:S:1:pos:R:3 pbc="T T T"
Mg 0.000 0.000 0.000
Fe 2.254 2.254 2.439
S 0.000 2.254 2.439
S 2.254 0.000 2.439
Cl 2.254 2.254 0.000
```

Results
Size of the total moment in μB/cell: 3.42
Formation energy from raw total energies in meV/atom: -247
Energy above the most stable polymorph in this dataset in meV/atom: 0
DFT total energy in eV/atom: -4.28



No. 2
LiIn6Hg7 | GGA-PBE | relaxed

extended XYZ file:
```
28
Lattice="8.075 -7.348 0.000 8.075 7.348 0.000 -2.356 0.000 6.132" Properties=species:S:1:pos:R:3 pbc="T T T"
Li 6.308 3.753 4.599
Li 7.486 -3.753 1.533
In 4.683 6.214 5.847
In 7.933 6.214 3.352
In 1.791 0.308 5.846
In 2.969 -0.308 2.780
In 6.003 1.150 2.421
In 8.969 1.150 0.645
In 4.825 -1.150 5.487
In 7.791 -1.150 3.711
In 10.825 0.308 3.352
In 12.003 -0.308 0.286
In 5.861 -6.214 2.781
In 9.111 -6.214 0.286
Hg 4.812 5.274 2.808
Hg 3.570 2.936 1.297
Hg 4.155 2.071 4.787
Hg 7.486 3.742 1.533
Hg 10.161 5.274 0.258
Hg 2.392 -2.936 4.363
Hg 8.462 2.071 4.411
Hg 5.333 -2.071 1.721
Hg 11.403 2.936 1.769
Hg 3.634 -5.274 5.874
Hg 6.308 -3.742 4.599
Hg 9.640 -2.071 1.345
Hg 10.225 -2.936 4.835
Hg 8.983 -5.274 3.324
```

Results
Energy relative to the elements in kJ/mol of formula units: -24.1
Size of the total moment in μB/cell: 0.00
DFT total energy in eV/atom: -1.48



No. 3
In6SnBi | GGA-PBE | relaxed

extended XYZ file:
```
8
Lattice="4.974 0.000 0.000 0.000 4.974 0.000 0.000 0.000 9.068" Properties=species:S:1:pos:R:3 pbc="T T T"
In 0.000 0.000 0.000
In 0.000 0.000 4.534
In 0.000 2.487 2.213
In 0.000 2.487 6.855
In 2.487 0.000 2.213
In 2.487 0.000 6.855
Sn 2.487 2.487 0.000
Bi 2.487 2.487 4.534
```

Results
Energy relative to the elements in kJ/mol of formula units: 14.9
Size of the total moment in μB/cell: 0.00
DFT total energy in eV/atom: -3.02